The following is a GGA-PBE calculation of an optimized crystal structure of Ce2HfSi3Pt4, from Alexandria.

ρ = 11.7 g/cm3
space-group type = P-4m2
electronic total energy = -7.28 eV/atom
E_form (uncorrected) = -10.57 eV/f.u.
M_tot = 0.010 μB per atom

a = 4.237 Å, b = 4.237 Å, c = 10.494 Å
α = 90.00°, β = 90.00°, γ = 90.00°
Fractional positions:
Ce (0.500, 0.000, 0.237)
Ce (0.000, 0.500, 0.763)
Hf (0.500, 0.500, 0.500)
Si (0.000, 0.000, 0.500)
Si (0.500, 0.000, 0.874)
Si (0.000, 0.500, 0.126)
Pt (0.500, 0.500, 0.000)
Pt (0.000, 0.000, 0.000)
Pt (0.500, 0.000, 0.646)
Pt (0.000, 0.500, 0.354)